Computed, not measured: BaScMo2 after structural relaxation at the GGA-PBE level of DFT.

D(E_F)	6.96	states/eV/cell
E above lowest polymorph	1.146	eV per formula unit
space group	No. 160
ΔH_f (0 K)	2.7	eV/f.u.

a = 10.3298 Å, b = 10.3298 Å, c = 10.3298 Å
α = 18.36°, β = 18.36°, γ = 18.36°
Last column: nearest neighbours and their distance in Å.
Positions (direct):
Sc: 0.5197 0.5197 0.5197  3 Mo 2.91
Ba: 0.7415 0.7415 0.7415  6 Ba 3.30, 3 Mo 3.45
Mo: 0.2584 0.2584 0.2584  3 Mo 2.54
Mo: 0.9803 0.9803 0.9803  3 Mo 2.54

=====

Computed, not measured: BaLaTa after structural relaxation at the GGA-PBE level of DFT.

D(E_F)	3.45	states/eV/cell
E above lowest polymorph	0.336	eV per formula unit
space group	No. 156
ΔH_f (0 K)	2.5	eV/f.u.

a = 3.4632 Å, b = 3.4632 Å, c = 9.1416 Å
α = 90.00°, β = 90.00°, γ = 120.00°
Last column: nearest neighbours and their distance in Å.
Positions (direct):
La: 0.3333 0.6667 0.3825  3 Ta 3.19, 6 La 3.46
Ta: 0.6667 0.3333 0.6547  3 La 3.19, 3 Ba 3.45, 6 Ta 3.46
Ba: 0.0000 0.0000 0.9628  3 Ta 3.45, 6 Ba 3.46

=====

Computed, not measured: BeFe3Ag after structural relaxation at the GGA-PBE level of DFT.

D(E_F)	2.19	states/eV/cell
E above lowest polymorph	0.000	eV per formula unit
space group	No. 221
ΔH_f (0 K)	2.9	eV/f.u.

a = 4.0245 Å, b = 4.0245 Å, c = 4.0245 Å
α = 90.00°, β = 90.00°, γ = 90.00°
Last column: nearest neighbours and their distance in Å.
Positions (direct):
Fe: 0.0000 0.5000 0.0000  2 Be 2.01
Fe: 0.5000 0.0000 0.0000  2 Be 2.01
Fe: 0.0000 0.0000 0.5000  2 Be 2.01
Ag: 0.5000 0.5000 0.5000  12 Fe 2.85
Be: 0.0000 0.0000 0.0000  6 Fe 2.01

=====

Computed, not measured: NaYHf3 after structural relaxation at the GGA-PBE level of DFT.

D(E_F)	10.70	states/eV/cell
E above lowest polymorph	0.000	eV per formula unit
space group	No. 221
ΔH_f (0 K)	6.7	eV/f.u.

a = 5.0892 Å, b = 5.0892 Å, c = 5.0892 Å
α = 90.00°, β = 90.00°, γ = 90.00°
Last column: nearest neighbours and their distance in Å.
Positions (direct):
Y: 0.5000 0.5000 0.5000  12 Hf 3.60
Hf: 0.0000 0.5000 0.0000  2 Na 2.54
Hf: 0.0000 0.0000 0.5000  2 Na 2.54
Hf: 0.5000 0.0000 0.0000  2 Na 2.54
Na: 0.0000 0.0000 0.0000  6 Hf 2.54

=====

Computed, not measured: NdErGaRu after structural relaxation at the GGA-PBE level of DFT.

D(E_F)	2.40	states/eV/cell
E above lowest polymorph	0.238	eV per formula unit
space group	No. 216
ΔH_f (0 K)	-1.5	eV/f.u.

a = 4.9988 Å, b = 4.9988 Å, c = 4.9988 Å
α = 60.00°, β = 60.00°, γ = 60.00°
Last column: nearest neighbours and their distance in Å.
Positions (direct):
Er: 0.2500 0.2500 0.2500  4 Ru 3.06, 4 Ga 3.06
Ru: 0.0000 0.0000 0.0000  4 Er 3.06, 4 Nd 3.06
Ga: 0.5000 0.5000 0.5000  4 Nd 3.06, 4 Er 3.06
Nd: 0.7500 0.7500 0.7500  4 Ga 3.06, 4 Ru 3.06

=====

Computed, not measured: TmTl2HgF6 after structural relaxation at the GGA-PBE level of DFT.

D(E_F)	4.35	states/eV/cell
space group	No. 59
E_form (uncorrected)	-2493	meV per atom

a = 6.4765 Å, b = 7.0258 Å, c = 9.3497 Å
α = 90.00°, β = 90.00°, γ = 90.00°
Last column: nearest neighbours and their distance in Å.
Positions (direct):
Tm: 0.0000 0.7686 0.0000  6 F 2.12-2.18
Tm: 0.5000 0.2314 0.5000  6 F 2.12-2.18
F: 0.2477 0.0269 0.5000  1 Tm 2.18
F: 0.2406 0.5636 0.0000  1 Tm 2.12
F: 0.5000 0.1864 0.7273  1 Tm 2.15
F: 0.2594 0.4364 0.5000  1 Tm 2.12
F: 0.0000 0.8136 0.2273  1 Tm 2.15
F: 0.7477 0.9731 0.0000  1 Tm 2.18
F: 0.2523 0.9731 0.0000  1 Tm 2.18
F: 0.7406 0.4364 0.5000  1 Tm 2.12
F: 0.7594 0.5636 0.0000  1 Tm 2.12
F: 0.0000 0.8136 0.7727  1 Tm 2.15
F: 0.5000 0.1864 0.2727  1 Tm 2.15
F: 0.7523 0.0269 0.5000  1 Tm 2.18
Tl: 0.0000 0.1931 0.7159  3 F 2.72-2.83
Tl: 0.5000 0.8069 0.7841  3 F 2.72-2.83
Tl: 0.5000 0.8069 0.2159  3 F 2.72-2.83
Tl: 0.0000 0.1931 0.2841  3 F 2.72-2.83
Hg: 0.0000 0.7112 0.5000  6 F 2.56-2.74
Hg: 0.5000 0.2888 0.0000  6 F 2.56-2.74

=====

Computed, not measured: ZnPbC2O6 after structural relaxation at the GGA-PBE level of DFT.

D(E_F)	0.00	states/eV/cell
space group	No. 148
E_form (uncorrected)	-1388	meV per atom

a = 4.9886 Å, b = 4.9886 Å, c = 6.3695 Å
α = 66.95°, β = 66.95°, γ = 60.00°
Last column: nearest neighbours and their distance in Å.
Positions (direct):
O: 0.2899 0.9583 0.2798  1 C 1.30
O: 0.0417 0.5279 0.7202  1 C 1.30
O: 0.5279 0.7101 0.7202  1 C 1.30
O: 0.4721 0.2899 0.2798  1 C 1.30
O: 0.7101 0.0417 0.7202  1 C 1.30
O: 0.9583 0.4721 0.2798  1 C 1.30
Zn: 0.5000 0.5000 0.5000  6 O 2.13
C: 0.2382 0.2382 0.2853  3 O 1.30
C: 0.7618 0.7618 0.7147  3 O 1.30
Pb: 0.0000 0.0000 0.0000  6 O 2.60

=====

Computed, not measured: Se2IN2 after structural relaxation at the GGA-PBE level of DFT.

D(E_F)	2.00	states/eV/cell
E above lowest polymorph	0.761	eV per formula unit
space group	No. 123
E_form (uncorrected)	1743	meV per atom

a = 3.9148 Å, b = 3.9148 Å, c = 7.4120 Å
α = 90.00°, β = 90.00°, γ = 90.00°
Last column: nearest neighbours and their distance in Å.
Positions (direct):
I: 0.0000 0.0000 0.0000  4 N 1.96
Se: 0.0000 0.0000 0.5000  4 Se 2.77
Se: 0.5000 0.5000 0.5000  4 Se 2.77
N: 0.5000 0.0000 0.0000  2 I 1.96
N: 0.0000 0.5000 0.0000  2 I 1.96

=====

Computed, not measured: LiNdCl4 after structural relaxation at the GGA-PBE level of DFT.

D(E_F)	0.00	states/eV/cell
E above lowest polymorph	0.228	eV per formula unit
space group	No. 14
E_form (uncorrected)	-2067	meV per atom

a = 6.4243 Å, b = 7.7032 Å, c = 7.6803 Å
α = 118.26°, β = 90.00°, γ = 90.00°
Last column: nearest neighbours and their distance in Å.
Positions (direct):
Nd: 0.5000 0.0000 0.5000  6 Cl 2.70-2.79
Nd: 0.0000 0.5000 0.5000  6 Cl 2.70-2.79
Cl: 0.7177 0.1853 0.8404  1 Li 2.55, 1 Nd 2.70
Cl: 0.7257 0.6516 0.3245  1 Li 2.63, 2 Nd 2.77-2.79
Cl: 0.7743 0.1516 0.3245  1 Li 2.63, 2 Nd 2.77-2.79
Cl: 0.2177 0.3147 0.1596  1 Li 2.55, 1 Nd 2.70
Cl: 0.7823 0.6853 0.8404  1 Li 2.55, 1 Nd 2.70
Cl: 0.2743 0.3484 0.6755  1 Li 2.63, 2 Nd 2.77-2.79
Cl: 0.2823 0.8147 0.1596  1 Li 2.55, 1 Nd 2.70
Cl: 0.2257 0.8484 0.6755  1 Li 2.63, 2 Nd 2.77-2.79
Li: 0.0000 0.0000 0.0000  4 Cl 2.55-2.63
Li: 0.5000 0.5000 0.0000  4 Cl 2.55-2.63

=====

Computed, not measured: Li2LaCeAu4 after structural relaxation at the GGA-PBE level of DFT.

D(E_F)	10.50	states/eV/cell
space group	No. 166
ΔH_f (0 K)	-5.4	eV/f.u.

a = 4.6122 Å, b = 4.6122 Å, c = 10.0135 Å
α = 76.69°, β = 76.69°, γ = 60.00°
Last column: nearest neighbours and their distance in Å.
Positions (direct):
Ce: 0.0000 0.0000 0.0000  8 Au 3.10-3.12
Li: 0.2519 0.2519 0.2443  6 Au 2.76
Li: 0.7481 0.7481 0.7557  6 Au 2.76
Au: 0.6107 0.6107 0.1678  3 Li 2.76, 3 Au 3.05
Au: 0.8930 0.8930 0.3211  3 Li 2.76, 3 Au 3.05
Au: 0.1070 0.1070 0.6789  3 Li 2.76, 3 Au 3.05
Au: 0.3893 0.3893 0.8322  3 Li 2.76, 3 Au 3.05
La: 0.5000 0.5000 0.5000  8 Au 3.17-3.21

=====

Computed, not measured: Zr2BeClO after structural relaxation at the GGA-PBE level of DFT.

D(E_F)	3.32	states/eV/cell
space group	No. 123
E_form (uncorrected)	398	meV per atom

a = 4.7795 Å, b = 3.6171 Å, c = 4.7795 Å
α = 90.00°, β = 90.00°, γ = 90.00°
Last column: nearest neighbours and their distance in Å.
Positions (direct):
O: 0.5000 0.5000 0.5000  8 Zr 3.00
Cl: 0.0000 0.0000 0.0000  2 Be 1.81
Be: 0.0000 0.5000 0.0000  2 Cl 1.81
Zr: 0.5000 0.0000 0.0000  2 Cl 2.39
Zr: 0.0000 0.0000 0.5000  2 Cl 2.39

=====

Computed, not measured: La8S3Br4N after structural relaxation at the GGA-PBE level of DFT.

D(E_F)	10.11	states/eV/cell
space group	No. 166
E_form (uncorrected)	-1664	meV per atom

a = 8.1689 Å, b = 8.7542 Å, c = 8.1696 Å
α = 117.83°, β = 120.00°, γ = 90.00°
Last column: nearest neighbours and their distance in Å.
Positions (direct):
La: 0.7599 0.6980 0.9789  1 N 2.61, 2 S 2.86
La: 0.2192 0.6981 0.4384  1 N 2.61, 2 S 2.86
La: 0.2190 0.6980 0.9789  1 N 2.61, 2 S 2.86
La: 0.7810 0.3020 0.0211  1 N 2.61, 2 S 2.86
La: 0.2625 0.2875 0.5250  3 S 2.83, 1 Br 3.17
La: 0.7375 0.7125 0.4750  3 S 2.83, 1 Br 3.17
La: 0.2401 0.3020 0.0211  1 N 2.61, 2 S 2.86
La: 0.7808 0.3019 0.5616  1 N 2.61, 2 S 2.86
Br: 0.0000 0.0000 0.5000  6 La 3.17-3.18
Br: 0.0000 0.0000 0.0000  6 La 3.17-3.18
Br: 0.5000 0.0000 0.0000  6 La 3.38-3.39
Br: 0.5000 0.0000 0.5000  6 La 3.17-3.18
S: 0.0000 0.5000 0.5000  6 La 2.83-2.86
S: 0.5000 0.5000 0.0000  6 La 2.83-2.86
S: 0.5000 0.5000 0.5000  6 La 2.83-2.86
N: 0.0000 0.5000 0.0000  6 La 2.61

=====

| no. | calculated volume (A^3/atom) |
| --- | --- |
| 1 | 23.878 |
| 2 | 31.650 |
| 3 | 13.036 |
| 4 | 26.362 |
| 5 | 22.082 |
| 6 | 21.272 |
| 7 | 12.244 |
| 8 | 22.719 |
| 9 | 27.898 |
| 10 | 22.229 |
| 11 | 16.525 |
| 12 | 26.637 |